Record 1
A plane-wave DFT calculation with PBE was carried out for PrYHgGe after structural relaxation. Values from VASP.

```
&SYSTEM
  ibrav = 0, nat = 4, ntyp = 4
/
ATOMIC_SPECIES
Pr 140.91 Pr.upf
Y 88.91 Y.upf
Ge 72.64 Ge.upf
Hg 200.59 Hg.upf
ATOMIC_POSITIONS crystal
Pr 0.0000 0.0000 0.0000
Y 0.5000 0.5000 0.5000
Ge 0.2500 0.2500 0.2500
Hg 0.7500 0.7500 0.7500
CELL_PARAMETERS angstrom
5.2596 0.0000 0.0000
2.6298 4.5549 0.0000
2.6298 1.5183 4.2944
```

Summary:
calculated formation energy	-0.566	eV per atom
DFT total energy	-18.4	eV per cell
crystal system	cubic
size of the total moment	0.00	Bohr magnetons per cell

=====

Record 2
A plane-wave DFT calculation with PBE was carried out for Cs2ZrSn2Se6 after structural relaxation. Values from VASP.

```
&SYSTEM
  ibrav = 0, nat = 11, ntyp = 4
/
ATOMIC_SPECIES
Cs 132.91 Cs.upf
Zr 91.22 Zr.upf
Sn 118.71 Sn.upf
Se 78.96 Se.upf
ATOMIC_POSITIONS crystal
Cs 0.7077 0.4155 0.1996
Cs 0.2923 0.5845 0.8004
Zr 0.5000 0.0000 0.5000
Sn 0.9562 0.9124 0.8083
Sn 0.0438 0.0876 0.1917
Se 0.7280 0.4559 0.6210
Se 0.2158 0.8956 0.2333
Se 0.3202 0.1044 0.7667
Se 0.7842 0.1044 0.7667
Se 0.6798 0.8956 0.2333
Se 0.2720 0.5441 0.3790
CELL_PARAMETERS angstrom
-1.1683 -1.0807 7.6220
2.5800 -5.7496 -4.3969
5.7290 6.4171 1.7880
```

Summary:
DFT total energy	-48.2	eV per cell
crystal system	monoclinic
size of the total moment	0.00	Bohr magnetons per cell
formation energy (no corrections)	-0.818	eV/atom

=====

Record 3
A plane-wave DFT calculation with PBE was carried out for Y6Te5S after structural relaxation. Values from VASP.

```
&SYSTEM
  ibrav = 0, nat = 12, ntyp = 3
/
ATOMIC_SPECIES
Y 88.91 Y.upf
S 32.06 S.upf
Te 127.60 Te.upf
ATOMIC_POSITIONS crystal
Y 0.1433 0.3638 0.2924
Y 0.1491 0.9286 0.2924
Y 0.4439 0.2116 0.0000
Y 0.5561 0.7884 0.0000
Y 0.8509 0.0714 0.7076
Y 0.8567 0.6362 0.7076
S 0.0000 0.0000 0.0000
Te 0.3213 0.8213 0.6427
Te 0.6637 0.6637 0.3274
Te 0.0000 0.5000 0.0000
Te 0.3363 0.3363 0.6726
Te 0.6787 0.1787 0.3573
CELL_PARAMETERS angstrom
-6.6733 3.2234 -0.2987
2.8910 -4.7756 6.5685
4.3291 6.0814 -0.3508
```

Summary:
DFT total energy	-76.0	eV per cell
crystal system	monoclinic
size of the total moment	0.00	Bohr magnetons per cell
formation energy (no corrections)	-1.449	eV/atom

=====

Record 4
A plane-wave DFT calculation with PBE was carried out for ZnOs2Pt after structural relaxation. Values from VASP.

```
&SYSTEM
  ibrav = 0, nat = 4, ntyp = 3
/
ATOMIC_SPECIES
Os 190.23 Os.upf
Pt 195.08 Pt.upf
Zn 65.41 Zn.upf
ATOMIC_POSITIONS crystal
Os 0.0012 0.0012 0.0012
Os 0.4988 0.4988 0.4988
Pt 0.2500 0.2500 0.2500
Zn 0.7500 0.7500 0.7500
CELL_PARAMETERS angstrom
-1.4982 5.8515 -6.7659
-2.8930 3.7037 -7.7573
-4.1005 5.4307 -5.9963
```

Summary:
calculated formation energy	0.219	eV per atom
DFT total energy	-28.9	eV per cell
crystal system	trigonal
size of the total moment	0.00	Bohr magnetons per cell

=====

Record 5
A plane-wave DFT calculation with PBE was carried out for AlHPd5 after structural relaxation. Values from VASP.

```
&SYSTEM
  ibrav = 0, nat = 14, ntyp = 3
/
ATOMIC_SPECIES
Al 26.98 Al.upf
H 1.01 H.upf
Pd 106.42 Pd.upf
ATOMIC_POSITIONS crystal
Al 0.6045 0.3955 0.2500
Al 0.3955 0.6045 0.7500
H 0.0000 0.0000 0.0000
H 0.0000 0.0000 0.5000
Pd 0.7472 0.7649 0.1776
Pd 0.2666 0.6665 0.4586
Pd 0.7649 0.7472 0.6776
Pd 0.9531 0.0469 0.2500
Pd 0.3335 0.7334 0.0414
Pd 0.6665 0.2666 0.9586
Pd 0.0469 0.9531 0.7500
Pd 0.2351 0.2528 0.3224
Pd 0.7334 0.3335 0.5414
Pd 0.2528 0.2351 0.8224
CELL_PARAMETERS angstrom
-1.6812 -5.8020 -0.3639
2.1327 -3.0807 4.7521
-5.0035 -2.3139 4.9608
```

Summary:
DFT total energy	-67.9	eV per cell
crystal system	monoclinic
size of the total moment	0.00	Bohr magnetons per cell

=====

Record 6
A plane-wave DFT calculation with PBE was carried out for PmSm2Dy5Sc after structural relaxation. Values from VASP.

```
&SYSTEM
  ibrav = 0, nat = 18, ntyp = 4
/
ATOMIC_SPECIES
Pm 145.00 Pm.upf
Sm 150.36 Sm.upf
Dy 162.50 Dy.upf
Sc 44.96 Sc.upf
ATOMIC_POSITIONS crystal
Pm 0.5877 0.1754 0.9567
Pm 0.4123 0.8246 0.4567
Sm 0.8878 0.7757 0.8147
Sm 0.1143 0.2287 0.7343
Sm 0.1122 0.2243 0.3147
Sm 0.8857 0.7713 0.2343
Dy 0.3749 0.7498 0.0192
Dy 0.7234 0.4468 0.8223
Dy 0.4818 0.9637 0.7395
Dy 0.2975 0.5950 0.7041
Dy 0.9821 0.9642 0.5187
Dy 0.6251 0.2502 0.5192
Dy 0.2766 0.5532 0.3223
Dy 0.5182 0.0363 0.2395
Dy 0.7025 0.4050 0.2041
Dy 0.0179 0.0358 0.0187
Sc 0.8038 0.6075 0.5145
Sc 0.1962 0.3925 0.0145
CELL_PARAMETERS angstrom
5.5869 0.0000 0.0000
-2.7935 9.8852 0.0000
0.0000 0.0000 10.4324
```

Summary:
calculated formation energy	0.161	eV per atom
DFT total energy	-84.2	eV per cell
crystal system	orthorhombic
size of the total moment	0.00	Bohr magnetons per cell